1.
The following is a GGA-PBE calculation of a relaxed structure of TaTi2BeH, from Alexandria via LeMat-Bulk.

It has space group P4/mmm (No. 123), with a = 4.164 Å, b = 4.164 Å, c = 3.604 Å, α = 90.00°, β = 90.00° and γ = 90.00°. The distinct sites, in fractional coordinates, are Ta at (0.000, 0.000, 0.000), Ti at (0.000, 0.500, 0.500), Be at (0.500, 0.500, 0.000) and H at (0.500, 0.500, 0.500).

---

2.
The following is a GGA-PBE calculation of a relaxed structure of Ni3Hg2Se4, from Alexandria via LeMat-Bulk.

It has space group Fmmm (No. 69), with a = 5.791 Å, b = 9.416 Å, c = 18.038 Å, α = 90.00°, β = 90.00° and γ = 90.00°. The distinct sites, in fractional coordinates, are Ni at (0.000, 0.000, 0.000), Ni at (0.250, 0.250, 0.000), Hg at (0.000, 0.000, 0.293) and Se at (0.000, 0.173, 0.091).

The value obtained for the formation energy from raw total energies is -150 meV/atom.

---

The following raw total energy values (in eV per atom) correspond, in order, to the records above: -6.97 -3.69.